## NaLa2AsP (PBE-GGA)

Data for a relaxed NaLa2AsP crystal.

The space group is P4/mmm (No. 123) and the conventional cell measures 5.5747, 5.5747 and 4.9593 Å, with angles of 90.00, 90.00 and 90.00 degrees. Symmetry generates all atoms from Na at (0.0000, 0.0000, 0.0000), La at (0.0000, 0.5000, 0.5000), As at (0.5000, 0.5000, 0.0000) and P at (0.0000, 0.0000, 0.5000).

The value obtained for the total energy is -4.9439 eV per atom. As for the formation energy: -0.70 eV/atom.